The following is a PBE calculation of a geometry-optimized PmNd7Ho12 structure, from Alexandria.

Summary:
SG: R-3, No. 148
excess energy over the best structure of this formula in the dataset: 0.00 eV/f.u.
energy of formation from the pure elements: 0.231 eV per atom

abc: 8.796 8.796 8.796
angles: 86.02 86.02 86.02
Fractional coordinates of all 20 atoms:
1 Pm 0.000 0.000 0.000
2 Nd 0.076 0.157 0.398
3 Nd 0.157 0.398 0.076
4 Nd 0.398 0.076 0.157
5 Nd 0.500 0.500 0.500
6 Nd 0.602 0.924 0.843
7 Nd 0.843 0.602 0.924
8 Nd 0.924 0.843 0.602
9 Ho 0.133 0.496 0.619
10 Ho 0.147 0.744 0.275
11 Ho 0.256 0.725 0.853
12 Ho 0.275 0.147 0.744
13 Ho 0.381 0.867 0.504
14 Ho 0.496 0.619 0.133
15 Ho 0.504 0.381 0.867
16 Ho 0.619 0.133 0.496
17 Ho 0.725 0.853 0.256
18 Ho 0.744 0.275 0.147
19 Ho 0.853 0.256 0.725
20 Ho 0.867 0.504 0.381

***

The following is a PBE calculation of a geometry-optimized Pm5Nd4Ho4 structure, from Alexandria.

Summary:
SG: I4/m, No. 87
energy of formation from the pure elements: 0.016 eV per atom

abc: 9.595 9.595 9.595
angles: 94.06 94.06 149.15
Fractional coordinates of all 13 atoms:
1 Pm 0.000 0.000 0.000
2 Pm 0.309 0.540 0.849
3 Pm 0.460 0.309 0.768
4 Pm 0.540 0.691 0.232
5 Pm 0.691 0.460 0.151
6 Nd 0.077 0.383 0.460
7 Nd 0.383 0.923 0.305
8 Nd 0.617 0.077 0.695
9 Nd 0.923 0.617 0.540
10 Ho 0.154 0.769 0.923
11 Ho 0.231 0.154 0.385
12 Ho 0.769 0.846 0.615
13 Ho 0.846 0.231 0.077

***

The following is a PBE calculation of a geometry-optimized Pm8Nd2Ho structure, from Alexandria.

Summary:
SG: C2/m, No. 12
excess energy over the best structure of this formula in the dataset: 0.00 eV/f.u.
energy of formation from the pure elements: 0.014 eV per atom

abc: 9.632 9.632 8.155
angles: 104.71 104.71 31.04
Fractional coordinates of all 11 atoms:
1 Pm 0.045 0.045 0.229
2 Pm 0.135 0.135 0.680
3 Pm 0.319 0.319 0.591
4 Pm 0.410 0.410 0.048
5 Pm 0.590 0.590 0.952
6 Pm 0.681 0.681 0.409
7 Pm 0.865 0.865 0.320
8 Pm 0.955 0.955 0.771
9 Nd 0.227 0.227 0.137
10 Nd 0.773 0.773 0.863
11 Ho 0.500 0.500 0.500

***

The following is a PBE calculation of a geometry-optimized PmNd6Ho2 structure, from Alexandria.

Summary:
SG: P-1, No. 2
excess energy over the best structure of this formula in the dataset: 0.00 eV/f.u.
energy of formation from the pure elements: 0.017 eV per atom

abc: 3.649 8.929 9.633
angles: 90.35 100.91 90.10
Fractional coordinates of all 9 atoms:
1 Pm 0.000 0.000 0.000
2 Nd 0.109 0.664 0.218
3 Nd 0.221 0.335 0.441
4 Nd 0.334 0.001 0.668
5 Nd 0.666 0.999 0.332
6 Nd 0.779 0.665 0.559
7 Nd 0.891 0.336 0.782
8 Ho 0.445 0.667 0.890
9 Ho 0.555 0.333 0.110

***

The following is a PBE calculation of a geometry-optimized Pm2Nd12Ho5 structure, from Alexandria.

Summary:
SG: C2/m, No. 12
excess energy over the best structure of this formula in the dataset: 0.56 eV/f.u.
energy of formation from the pure elements: 0.127 eV per atom

abc: 9.492 9.492 8.050
angles: 91.16 91.16 65.21
Fractional coordinates of all 19 atoms:
1 Pm 0.233 0.767 0.000
2 Pm 0.767 0.233 0.000
3 Nd 0.039 0.579 0.207
4 Nd 0.156 0.156 0.122
5 Nd 0.168 0.621 0.611
6 Nd 0.379 0.832 0.389
7 Nd 0.421 0.961 0.793
8 Nd 0.448 0.448 0.288
9 Nd 0.552 0.552 0.712
10 Nd 0.579 0.039 0.207
11 Nd 0.621 0.168 0.611
12 Nd 0.832 0.379 0.389
13 Nd 0.844 0.844 0.878
14 Nd 0.961 0.421 0.793
15 Ho 0.000 0.000 0.500
16 Ho 0.246 0.246 0.490
17 Ho 0.351 0.351 0.915
18 Ho 0.649 0.649 0.085
19 Ho 0.754 0.754 0.510

***

The following is a PBE calculation of a geometry-optimized PmNd4Ho4 structure, from Alexandria.

Summary:
SG: I4/mmm, No. 139
energy of formation from the pure elements: 0.020 eV per atom

abc: 8.071 8.071 8.071
angles: 95.73 95.73 143.17
Fractional coordinates of all 9 atoms:
1 Pm 0.000 0.000 0.000
2 Nd 0.333 0.333 0.665
3 Nd 0.333 0.667 0.000
4 Nd 0.667 0.333 0.000
5 Nd 0.667 0.667 0.335
6 Ho 0.000 0.336 0.336
7 Ho 0.000 0.664 0.664
8 Ho 0.336 0.000 0.336
9 Ho 0.664 0.000 0.664

***

The following is a PBE calculation of a geometry-optimized Pm3Nd2Ho8 structure, from Alexandria.

Summary:
SG: C2/m, No. 12
excess energy over the best structure of this formula in the dataset: 0.00 eV/f.u.
energy of formation from the pure elements: 0.231 eV per atom

abc: 8.656 8.656 6.955
angles: 105.80 105.80 64.06
Fractional coordinates of all 13 atoms:
1 Pm 0.000 0.000 0.000
2 Pm 0.176 0.824 0.500
3 Pm 0.824 0.176 0.500
4 Nd 0.220 0.220 0.420
5 Nd 0.780 0.780 0.580
6 Ho 0.192 0.192 0.894
7 Ho 0.200 0.562 0.827
8 Ho 0.420 0.420 0.267
9 Ho 0.438 0.800 0.173
10 Ho 0.562 0.200 0.827
11 Ho 0.580 0.580 0.733
12 Ho 0.800 0.438 0.173
13 Ho 0.808 0.808 0.106

***

The following is a PBE calculation of a geometry-optimized Pm2Nd4Ho3 structure, from Alexandria.

Summary:
SG: P3m1, No. 156
excess energy over the best structure of this formula in the dataset: 0.04 eV/f.u.
energy of formation from the pure elements: 0.055 eV per atom

abc: 3.631 3.631 26.964
angles: 90.00 90.00 120.00
Fractional coordinates of all 9 atoms:
1 Pm 0.000 0.000 0.000
2 Pm 0.000 0.000 0.212
3 Nd 0.000 0.000 0.345
4 Nd 0.000 0.000 0.558
5 Nd 0.333 0.667 0.672
6 Nd 0.333 0.667 0.887
7 Ho 0.000 0.000 0.779
8 Ho 0.333 0.667 0.108
9 Ho 0.333 0.667 0.450